3
Lattice="-2.1054 -0.2925 1.2360 0.9312 -3.0110 0.8737 0.7552 2.5588 1.8919" Properties=species:S:1:pos:R:3 comment="BeFeB GGA-PBE optimized geometry" rho_g_cm3=5.5 total_energy_ev_per_atom=-6.462 sg=P-6m2 magmom_total_mub_per_cell=0.00 e_form_ev_per_atom=-0.173 pbc="T T T"
Be -0.3505 -0.0487 0.2058
Fe -0.5303 -1.3493 2.0366
B 0.4618 0.6533 1.7591


4
Lattice="-0.2087 -1.1367 3.4047 -2.4696 -2.4294 -0.9625 6.4880 -5.9640 -1.5934" Properties=species:S:1:pos:R:3 comment="EuTm2Au GGA-PBE optimized geometry" rho_g_cm3=9.9 total_energy_ev_per_atom=-5.990 sg=P4/mmm magmom_total_mub_per_cell=7.92 e_form_ev_per_atom=-0.366 de_polymorph_mev_per_atom=0 pbc="T T T"
Tm 1.2296 -1.1303 -0.3020
Tm 5.2583 -4.8337 -1.2914
Eu 1.9048 -4.7651 0.4244
Au -1.3392 -1.7830 1.2211


18
Lattice="-7.1384 -1.8375 -3.1296 -2.2352 -3.1942 6.9737 -1.6110 8.3887 -1.2506" Properties=species:S:1:pos:R:3 comment="Ba2Pr2S5 GGA-PBE optimized geometry" rho_g_cm3=4.9 total_energy_ev_per_atom=-5.841 sg=Cmce magmom_total_mub_per_cell=0.00 raw_formation_energy_ev_per_atom=-2.06 pbc="T T T"
Pr -6.7368 -2.6202 -0.2624
Pr -6.6010 -3.8947 3.7740
Pr -2.7726 -1.1370 0.0701
Pr -2.6368 -2.4115 4.1065
S -2.7819 5.3202 0.1631
S 0.0000 0.0000 0.0000
S -5.9085 5.0340 -2.7825
S -5.6470 0.0041 -0.4260
S -5.3377 3.3529 3.0194
S -2.5203 0.2904 2.5197
S -8.2028 -1.9632 2.4303
S -8.4643 3.0666 0.0738
S -4.6868 -2.5158 1.9220
S -5.0761 -1.6769 5.3760
Ba -1.0875 2.7068 0.8912
Ba -5.7743 0.1909 2.8133
Ba -2.7587 2.4878 4.8318
Ba -5.2104 3.1661 -0.2198


4
Lattice="1.6014 1.4192 5.8313 4.9775 0.5671 3.6723 3.1636 4.2198 3.2815" Properties=species:S:1:pos:R:3 comment="IrAuSe2 GGA-PBE optimized geometry" rho_g_cm3=10.9 total_energy_ev_per_atom=-4.479 sg=R3m magmom_total_mub_per_cell=0.00 raw_formation_energy_ev_per_atom=0.30 pbc="T T T"
Ir 9.3400 5.9497 12.2570
Se 6.4811 4.1286 8.5052
Se 1.0909 0.6949 1.4316
Au 5.0181 3.1966 6.5854


6
Lattice="0.0000 3.4772 3.4772 3.4772 0.0000 3.4772 3.4772 3.4772 0.0000" Properties=species:S:1:pos:R:3 comment="ScCu4W GGA-PBE optimized geometry" rho_g_cm3=9.5 total_energy_ev_per_atom=-5.782 sg=F-43m magmom_total_mub_per_cell=1.05 e_form_ev_per_atom=0.163 pbc="T T T"
Cu 2.6043 4.3502 4.3502
Cu 4.3502 2.6043 4.3502
Cu 4.3502 4.3502 2.6043
Cu 2.6043 2.6043 2.6043
Sc 5.2159 5.2159 5.2159
W 0.0000 0.0000 0.0000


8
Lattice="5.6810 0.0000 0.0000 0.0000 5.6810 0.0000 2.8405 2.8405 9.4486" Properties=species:S:1:pos:R:3 comment="CsV2Sn GGA-PBE optimized geometry" rho_g_cm3=3.8 total_energy_ev_per_atom=-4.738 sg=I4_1/amd magmom_total_mub_per_cell=13.98 e_form_ev_per_atom=1.036 de_polymorph_mev_per_atom=0 pbc="T T T"
V 2.8402 4.2608 2.3622
V 4.2608 5.6808 7.0865
V 2.8408 1.4203 2.3622
V 7.1013 5.6813 7.0865
Sn 2.8405 2.8405 0.0000
Sn 2.8405 5.6810 4.7243
Cs 5.6810 2.8405 4.7243
Cs 0.0000 0.0000 0.0000


20
Lattice="-0.1224 -3.1135 -3.6813 -0.6905 -7.2087 6.1200 -9.4531 0.6824 -0.2628" Properties=species:S:1:pos:R:3 comment="ScPd4 GGA-PBE optimized geometry" rho_g_cm3=7.2 total_energy_ev_per_atom=-5.357 sg=P4/mbm magmom_total_mub_per_cell=0.00 e_form_ev_per_atom=0.064 pbc="T T T"
Pd -2.7183 -7.8997 3.6125
Pd -6.4930 -7.5104 3.4088
Pd -1.5812 -5.9169 1.8976
Pd -0.0931 -2.3670 -2.7986
Pd -3.7730 -2.1294 -1.2329
Pd -7.2373 -5.3918 1.6416
Pd -5.1649 -5.6301 0.1300
Pd -1.1525 -3.0409 -0.5491
Pd -3.0288 -4.2480 0.5343
Pd -4.3391 -6.4401 2.4319
Pd -5.1012 -4.0097 2.0459
Pd -8.6849 -3.7229 0.2783
Pd -0.0294 -0.7466 -0.8827
Pd -5.9270 -3.1997 -0.2560
Pd -9.1135 -6.5990 2.7250
Pd -7.5478 -1.7401 -1.4366
Sc -7.4373 -5.0482 4.5170
Sc -2.7063 -1.4781 1.3402
Sc -7.4597 -1.4173 1.4468
Sc -2.6839 -5.1090 4.4104


6
Lattice="2.9390 0.0000 0.0000 0.0000 2.9390 0.0000 0.0000 0.0000 8.8850" Properties=species:S:1:pos:R:3 comment="V3Cr2Ru GGA-PBE optimized geometry" rho_g_cm3=7.7 total_energy_ev_per_atom=-9.530 sg=P4/mmm magmom_total_mub_per_cell=0.00 e_form_ev_per_atom=-0.217 pbc="T T T"
Cr 1.4695 1.4695 7.4214
Cr 1.4695 1.4695 1.4635
V 0.0000 0.0000 6.0112
V 0.0000 0.0000 0.0000
V 0.0000 0.0000 2.8737
Ru 1.4695 1.4695 4.4425


4
Lattice="-1.6254 -2.4828 -2.8306 -2.5413 -3.0133 1.1315 -6.6702 2.3753 -1.2239" Properties=species:S:1:pos:R:3 comment="PrEuS2 GGA-PBE optimized geometry" rho_g_cm3=6.0 total_energy_ev_per_atom=-7.915 sg=R-3m magmom_total_mub_per_cell=6.88 raw_formation_energy_ev_per_atom=-2.09 pbc="T T T"
S -2.7140 -0.7764 -0.7313
S -8.1231 -2.3443 -2.1917
Eu -5.4185 -1.5604 -1.4615
Pr 0.0000 0.0000 0.0000


5
Lattice="5.9861 0.0000 0.0000 0.0000 4.6653 0.0000 0.0000 0.0000 5.9861" Properties=species:S:1:pos:R:3 comment="Cs2CuMoSe GGA-PBE optimized geometry" rho_g_cm3=5.0 total_energy_ev_per_atom=-2.972 sg=P4/mmm magmom_total_mub_per_cell=4.44 raw_formation_energy_ev_per_atom=1.05 pbc="T T T"
Cs 2.9930 0.0000 0.0000
Cs 0.0000 0.0000 2.9930
Cu 0.0000 2.3326 0.0000
Se 2.9930 2.3326 2.9930
Mo 0.0000 0.0000 0.0000


8
Lattice="-2.8732 4.5050 6.0103 -6.6728 -4.4853 0.1720 -3.1632 -2.2894 5.5840" Properties=species:S:1:pos:R:3 comment="BiPdI2 GGA-PBE optimized geometry" rho_g_cm3=7.8 total_energy_ev_per_atom=-2.910 sg=I-42d magmom_total_mub_per_cell=0.00 de_polymorph_mev_per_atom=0 raw_formation_energy_ev_per_atom=0.13 pbc="T T T"
Pd -4.7730 0.0098 3.0912
Pd -7.3045 -3.3824 4.4236
I -10.4369 -1.5061 9.5902
I -5.4445 -2.6180 2.5144
I -6.2403 -1.9034 6.5139
I -3.2965 1.4880 4.9144
Bi -5.4047 1.1127 7.3428
Bi 0.0000 0.0000 0.0000


16
Lattice="-3.0629 0.3363 -2.4508 0.7281 -3.6053 -1.4046 -9.4978 -6.2105 11.0174" Properties=species:S:1:pos:R:3 comment="RePd12Pt3 GGA-PBE optimized geometry" rho_g_cm3=13.9 total_energy_ev_per_atom=-5.790 sg=P4/mmm magmom_total_mub_per_cell=0.40 e_form_ev_per_atom=0.016 pbc="T T T"
Pd -0.7701 -2.5443 0.6133
Pd -3.1951 -4.1299 3.4263
Pd -3.5150 -3.1695 0.7954
Pd -1.1674 -1.6345 -1.9277
Pd -2.6656 -0.5735 0.0902
Pd -8.3176 -6.3099 6.3665
Pd -9.8950 -5.3007 8.4763
Pd -5.5746 -5.6859 6.1865
Pd -5.9163 -4.7397 3.5810
Pd -7.4701 -3.7151 5.6634
Pd -7.9995 -7.2715 8.9994
Pd -5.0906 -2.1591 2.9032
Pt -4.7489 -3.1053 5.5087
Pt -2.3742 -1.5525 2.7541
Pt -7.1235 -4.6580 8.2633
Re 0.0000 0.0000 0.0000